1.
A plane-wave DFT calculation with PBE was carried out for RbMgHgF5 after structural relaxation.

Summary:
V (Å³ per atom): 16.773
ΔE_f (raw) (eV per formula unit): -20.18
D(E_F) (states/eV per cell): 0.0
Total magnetic moment (μB/f.u.): 0.00
Raw total energy (eV/atom): -4.050

Unit cell a=6.271 b=6.271 c=7.712 alpha=97.94 beta=97.94 gamma=113.83
Sites, in units of the cell vectors:
Hg 0.670 0.330 0.250
Mg 0.000 0.000 0.000
F 0.736 0.101 0.428
F 0.101 0.736 0.928
Hg 0.330 0.670 0.750
Mg 0.000 0.000 0.500
F 0.648 0.749 0.957
F 0.251 0.352 0.543
F 0.951 0.049 0.750
F 0.749 0.648 0.457
Rb 0.327 0.673 0.250
Rb 0.673 0.327 0.750
F 0.264 0.899 0.572
F 0.049 0.951 0.250
F 0.352 0.251 0.043
F 0.899 0.264 0.072

---

2.
A plane-wave DFT calculation with PBE was carried out for Rb3Mg2HgF9 after structural relaxation.

Summary:
V (Å³ per atom): 15.647
ΔE_f (raw) (eV per formula unit): -42.50
D(E_F) (states/eV per cell): 0.0
Total magnetic moment (μB/f.u.): 0.00
Raw total energy (eV/atom): -4.382

Unit cell a=6.027 b=6.027 c=7.461 alpha=90.00 beta=90.00 gamma=120.00
Sites, in units of the cell vectors:
F 0.644 0.822 0.312
Rb 0.667 0.333 0.336
F 0.822 0.178 0.688
F 0.822 0.644 0.688
Rb 0.333 0.667 0.664
Hg 0.000 0.000 0.500
F 0.178 0.356 0.312
F 0.000 0.500 0.000
F 0.178 0.822 0.312
Mg 0.333 0.667 0.149
F 0.356 0.178 0.688
Mg 0.667 0.333 0.851
Rb 0.000 0.000 0.000
F 0.500 0.500 0.000
F 0.500 0.000 0.000

---

3.
A plane-wave DFT calculation with PBE was carried out for Rb2Mg3HgF12 after structural relaxation.

Summary:
V (Å³ per atom): 16.419
ΔE_f (raw) (eV per formula unit): -47.61
D(E_F) (states/eV per cell): 5.7
Total magnetic moment (μB/f.u.): 2.11
Raw total energy (eV/atom): -4.283

Unit cell a=7.548 b=7.548 c=7.548 alpha=58.78 beta=58.78 gamma=58.78
Sites, in units of the cell vectors:
F 0.090 0.650 0.090
Rb 0.394 0.394 0.394
Mg 0.500 0.000 0.000
Mg 0.000 0.500 0.000
F 0.690 0.690 0.077
F 0.923 0.310 0.310
F 0.650 0.090 0.090
Mg 0.000 0.000 0.500
F 0.910 0.910 0.350
F 0.310 0.310 0.923
Rb 0.606 0.606 0.606
F 0.910 0.350 0.910
F 0.350 0.910 0.910
F 0.077 0.690 0.690
F 0.690 0.077 0.690
F 0.310 0.923 0.310
F 0.090 0.090 0.650
Hg 0.000 0.000 0.000

---

4.
A plane-wave DFT calculation with PBE was carried out for Rb2MgHg3F12 after structural relaxation.

Summary:
V (Å³ per atom): 19.589
ΔE_f (raw) (eV per formula unit): -35.11
D(E_F) (states/eV per cell): 8.0
Total magnetic moment (μB/f.u.): 2.06
Raw total energy (eV/atom): -3.444

Unit cell a=7.794 b=7.794 c=7.794 alpha=62.38 beta=62.38 gamma=62.38
Sites, in units of the cell vectors:
F 0.299 0.934 0.934
F 0.066 0.066 0.701
F 0.934 0.934 0.299
F 0.066 0.701 0.066
Mg 0.000 0.000 0.000
F 0.658 0.055 0.658
Hg 0.000 0.000 0.500
F 0.658 0.658 0.055
F 0.701 0.066 0.066
F 0.342 0.945 0.342
Hg 0.500 0.000 0.000
F 0.342 0.342 0.945
F 0.945 0.342 0.342
F 0.055 0.658 0.658
Rb 0.655 0.655 0.655
F 0.934 0.299 0.934
Rb 0.345 0.345 0.345
Hg 0.000 0.500 0.000

---

5.
A plane-wave DFT calculation with PBE was carried out for RbMgHg2F8 after structural relaxation.

Summary:
V (Å³ per atom): 16.988
ΔE_f (raw) (eV per formula unit): -23.93
D(E_F) (states/eV per cell): 11.6
Total magnetic moment (μB/f.u.): 1.15
Raw total energy (eV/atom): -3.506

Unit cell a=5.817 b=5.817 c=7.726 alpha=67.89 beta=67.89 gamma=60.00
Sites, in units of the cell vectors:
F 0.209 0.720 0.351
Rb 0.000 0.000 0.000
F 0.720 0.720 0.351
Hg 0.195 0.195 0.414
F 0.720 0.209 0.351
F 0.706 0.706 0.883
F 0.280 0.791 0.649
F 0.791 0.280 0.649
F 0.294 0.294 0.117
Mg 0.500 0.500 0.500
Hg 0.805 0.805 0.586
F 0.280 0.280 0.649

---

6.
A plane-wave DFT calculation with PBE was carried out for Rb3MgHg2F9 after structural relaxation.

Summary:
V (Å³ per atom): 17.509
ΔE_f (raw) (eV per formula unit): -36.15
D(E_F) (states/eV per cell): 0.0
Total magnetic moment (μB/f.u.): 0.00
Raw total energy (eV/atom): -3.873

Unit cell a=6.271 b=6.271 c=7.712 alpha=90.00 beta=90.00 gamma=120.00
Sites, in units of the cell vectors:
F 0.500 0.000 0.000
F 0.153 0.306 0.350
F 0.000 0.500 0.000
Hg 0.333 0.667 0.188
Rb 0.667 0.333 0.327
F 0.847 0.694 0.650
Mg 0.000 0.000 0.500
Rb 0.000 0.000 0.000
Rb 0.333 0.667 0.673
Hg 0.667 0.333 0.812
F 0.153 0.847 0.350
F 0.694 0.847 0.350
F 0.847 0.153 0.650
F 0.306 0.153 0.650
F 0.500 0.500 0.000

---

7.
A plane-wave DFT calculation with PBE was carried out for SrMgHg2F8 after structural relaxation.

Summary:
V (Å³ per atom): 15.175
ΔE_f (raw) (eV per formula unit): -30.41
D(E_F) (states/eV per cell): 0.0
Total magnetic moment (μB/f.u.): 0.00
Raw total energy (eV/atom): -4.105

Unit cell a=4.489 b=5.455 c=7.436 alpha=90.00 beta=90.00 gamma=90.07
Sites, in units of the cell vectors:
F 0.449 0.253 0.500
F 0.882 0.221 0.785
F 0.118 0.779 0.215
Mg 0.000 0.000 0.000
Hg 0.500 0.500 0.766
F 0.551 0.747 0.500
F 0.356 0.231 0.000
F 0.644 0.769 0.000
Sr 0.000 0.000 0.500
Hg 0.500 0.500 0.234
F 0.882 0.221 0.215
F 0.118 0.779 0.785

---

8.
A plane-wave DFT calculation with PBE was carried out for SrMgHgF6 after structural relaxation.

Summary:
V (Å³ per atom): 16.092
ΔE_f (raw) (eV per formula unit): -26.52
D(E_F) (states/eV per cell): 0.0
Total magnetic moment (μB/f.u.): 0.00
Raw total energy (eV/atom): -4.591

Unit cell a=5.727 b=5.727 c=10.199 alpha=90.00 beta=90.00 gamma=120.00
Sites, in units of the cell vectors:
F 0.042 0.670 0.861
Sr 0.000 0.000 0.000
F 0.628 0.670 0.639
F 0.042 0.372 0.639
Hg 0.333 0.667 0.250
Sr 0.000 0.000 0.500
F 0.958 0.330 0.139
Mg 0.667 0.333 0.250
F 0.628 0.958 0.861
Hg 0.667 0.333 0.750
Mg 0.333 0.667 0.750
F 0.958 0.628 0.361
F 0.330 0.958 0.639
F 0.372 0.330 0.361
F 0.372 0.042 0.139
F 0.670 0.042 0.361
F 0.330 0.372 0.861
F 0.670 0.628 0.139

---

9.
A plane-wave DFT calculation with PBE was carried out for MgTc2HgF after structural relaxation.

Summary:
V (Å³ per atom): 19.173
ΔE_f (raw) (eV per formula unit): 3.49
D(E_F) (states/eV per cell): 5.1
Total magnetic moment (μB/f.u.): 5.78
Raw total energy (eV/atom): -4.201

Unit cell a=5.171 b=5.171 c=3.585 alpha=90.00 beta=90.00 gamma=90.00
Sites, in units of the cell vectors:
Tc 0.500 0.000 0.000
Hg 0.500 0.500 0.500
F 0.000 0.000 0.500
Tc 0.000 0.500 0.000
Mg 0.000 0.000 0.000

---

10.
A plane-wave DFT calculation with PBE was carried out for MgTl2HgF after structural relaxation.

Summary:
V (Å³ per atom): 35.409
ΔE_f (raw) (eV per formula unit): -1.04
D(E_F) (states/eV per cell): 1.2
Total magnetic moment (μB/f.u.): 0.00
Raw total energy (eV/atom): -1.908

Unit cell a=5.757 b=5.757 c=5.341 alpha=90.00 beta=90.00 gamma=90.00
Sites, in units of the cell vectors:
Hg 0.000 0.000 0.000
Mg 0.000 0.000 0.500
F 0.500 0.500 0.500
Tl 0.500 0.000 0.000
Tl 0.000 0.500 0.000